Record 1
Material: FeIr2Os
Method: DFT, SCAN
State: PBEsol geometry

Its energy of formation from the pure elements is -1 kJ/mol of atoms. The calculation puts the energy at -58.063 eV per atom. As for the size of the total moment: 2.566 Bohr magnetons per cell.

Lattice parameters (Å, degrees): 2.673 3.733 5.327 90.00 90.00 90.00
Last column: magnetic moment on the atom in μB.
Positions (direct):
Ir 0.500 0.500 0.257  -0.09
Ir 0.000 0.000 0.987  0.06
Fe 0.500 0.500 0.749  2.81
Os 0.000 0.000 0.507  -0.17

Record 2
Material: FeIr2Os
Method: DFT, SCAN
State: PBEsol geometry

Its energy of formation from the pure elements is 37 kJ/mol of atoms. The calculation puts the energy at -57.666 eV per atom. As for the size of the total moment: 0.266 Bohr magnetons per cell.

Lattice parameters (Å, degrees): 4.283 4.283 4.283 60.00 60.00 60.00
Last column: magnetic moment on the atom in μB.
Positions (direct):
Ir 0.250 0.250 0.250  -0.59
Ir 0.750 0.750 0.750  -0.59
Fe 0.000 0.000 0.000  3.03
Os 0.500 0.500 0.500  -1.47

Record 3
Material: FeIr2Os
Method: DFT, SCAN
State: PBEsol geometry

Its energy of formation from the pure elements is -4 kJ/mol of atoms. The calculation puts the energy at -58.097 eV per atom. As for the size of the total moment: 3.203 Bohr magnetons per cell.

Lattice parameters (Å, degrees): 2.679 4.603 4.602 100.01 90.00 106.92
Last column: magnetic moment on the atom in μB.
Positions (direct):
Fe 0.750 0.500 0.249  3.02
Ir 0.003 0.006 0.012  0.13
Ir 0.249 0.498 0.740  0.11
Os 0.498 0.996 0.499  -0.02

Record 4
Material: FeIr2Os
Method: DFT, SCAN
State: PBEsol geometry

Its energy of formation from the pure elements is -9 kJ/mol of atoms. The calculation puts the energy at -58.140 eV per atom. As for the size of the total moment: 2.933 Bohr magnetons per cell.

Lattice parameters (Å, degrees): 2.688 3.743 5.306 90.00 90.00 90.00
Last column: magnetic moment on the atom in μB.
Positions (direct):
Fe 0.500 0.500 0.500  3.00
Ir 0.000 0.000 0.255  0.03
Ir 0.000 0.000 0.745  0.03
Os 0.500 0.500 0.000  -0.10

Record 5
Material: FeIr2Os
Method: DFT, SCAN
State: PBEsol geometry

Its energy of formation from the pure elements is -3 kJ/mol of atoms. The calculation puts the energy at -58.087 eV per atom. As for the size of the total moment: 3.352 Bohr magnetons per cell.

Lattice parameters (Å, degrees): 2.672 4.594 4.594 109.50 90.00 90.00
Last column: magnetic moment on the atom in μB.
Positions (direct):
Os 0.500 0.000 0.000  -0.05
Ir 0.000 0.500 0.000  0.14
Ir 0.000 0.000 0.500  0.14
Fe 0.500 0.500 0.500  3.15

Record 6
Material: FeIr2Os
Method: DFT, SCAN
State: PBEsol geometry

Its energy of formation from the pure elements is -3 kJ/mol of atoms. The calculation puts the energy at -58.087 eV per atom. As for the size of the total moment: 3.032 Bohr magnetons per cell.

Lattice parameters (Å, degrees): 2.686 2.686 8.737 81.16 81.16 60.00
Last column: magnetic moment on the atom in μB.
Positions (direct):
Ir 0.752 0.752 0.743  0.08
Ir 0.248 0.248 0.257  0.08
Fe 0.500 0.500 0.500  2.99
Os 0.000 0.000 0.000  -0.08

Number 1 is which compound?
FeIr2Os

Number 6 is which compound?
FeIr2Os